Fe3GeO6 | PBE with a Hubbard U | optimized geometry

Output
- DOS at the Fermi energy (states/eV/cell) = 0.00
- SG = P2_1/c (14)
- total magnetic moment (Bohr magnetons per cell) = 28.087
- polymorph energy (0 for the lowest one) (eV/f.u.) = 0.00

Lattice parameters (Å, degrees): 5.024 5.085 8.459 90.00 89.97 90.00
Fractional positions:
Ge 0.000 0.000 0.000
Ge 0.500 0.500 0.500
O 0.174 0.232 0.157
Fe 0.500 0.500 0.000
O 0.816 0.677 0.500
O 0.327 0.729 0.658
O 0.674 0.268 0.657
O 0.326 0.732 0.343
O 0.173 0.229 0.842
O 0.684 0.177 0.000
O 0.673 0.271 0.342
Fe 0.000 0.000 0.500
Fe 0.500 0.999 0.793
Fe 0.000 0.499 0.707
O 0.184 0.323 0.500
Fe 0.500 0.001 0.207
O 0.316 0.823 0.000
O 0.826 0.768 0.843
O 0.827 0.771 0.158
Fe 0.000 0.501 0.293